Below is a geometry-optimized CsGdOs structure, with properties calculated at the PBE level.

a b c (Å): 5.008 5.008 5.008
angles (deg): 60.00 60.00 60.00
Positions (direct):
Os1 0.000 0.000 0.000
Gd1 0.750 0.750 0.750
Cs1 0.250 0.250 0.250

Properties
relative energy among the computed polymorphs	0.000	eV per atom
VASP energy	-4.516	eV/atom